--- one ---
Density functional theory data (GGA-PBE) for BeI2NCl after structural relaxation.

The structure belongs to space group P4/mmm (No. 123); the cell edges are 6.095, 6.095 and 3.086 Å and the angles 90.00°, 90.00° and 90.00°. The asymmetric unit holds Be at (0.000, 0.000, 0.000), I at (0.000, 0.500, 0.000), N at (0.000, 0.000, 0.500) and Cl at (0.500, 0.500, 0.500).

The density of states at the Fermi level comes out at 8.7 states/eV/cell.

--- two ---
Density functional theory data (GGA-PBE) for BeI2NCl after structural relaxation.

The structure belongs to space group P4/mmm (No. 123); the cell edges are 7.277, 7.277 and 3.271 Å and the angles 90.00°, 90.00° and 90.00°. The asymmetric unit holds Be at (0.000, 0.000, 0.000), I at (0.000, 0.500, 0.500), N at (0.500, 0.500, 0.000) and Cl at (0.500, 0.500, 0.500).

The density of states at the Fermi level comes out at 1.8 states/eV/cell.

Computed stability ranking, most favorable first: one, two